No. 1
Material: CdFeOs
Method: DFT, GGA-PBE
State: optimized geometry

Output
Offset from the most stable computed form, meV/atom: 28
Crystal system: trigonal
Raw total energy, Ry per atom: -0.479
Size of the total moment, μB/atom: 0.620
DOS at the Fermi energy, states/eV/cell: 2.3
Volume, Å³ per cell: 45.5
SG: P3m1, No. 156
Formation energy from the elements, eV per atom: 0.35

abc: 2.771 2.771 6.837
angles: 90.00 90.00 120.00
Atoms (fractional coordinates):
Cd1 0.000 0.000 0.000
Fe1 0.667 0.333 0.346
Os1 0.333 0.667 0.628

***

No. 2
Material: Tm4AlIn3
Method: DFT, GGA-PBE
State: optimized geometry

Output
Offset from the most stable computed form, meV/atom: 36
Crystal system: orthorhombic
Raw total energy, Ry per atom: -0.302
Size of the total moment, μB/atom: 0.009
DOS at the Fermi energy, states/eV/cell: 8.0
Volume, Å³ per cell: 205.7
SG: Pmm2, No. 25
Formation energy from the elements, eV per atom: -0.38

abc: 3.694 4.674 11.912
angles: 90.00 90.00 90.00
Atoms (fractional coordinates):
Tm1 0.000 0.000 0.000
Tm2 0.000 0.500 0.308
Tm3 0.500 0.000 0.487
Tm4 0.500 0.500 0.816
Al1 0.500 0.000 0.230
In1 0.000 0.000 0.732
In2 0.000 0.500 0.575
In3 0.500 0.500 0.081